# 1
NbPdPt4: relaxed, PBE-GGA.

Lattice parameters (Å, degrees): 5.3310 7.5982 5.5479 90.00 118.21 90.00
Space group C2/m (No. 12)
Unique sites:
1 Nb 0.0000 0.0000 0.0000 (multiplicity 2)
2 Pd 0.0000 0.0000 0.5000 (multiplicity 2)
3 Pt 0.0133 0.3144 0.7519 (multiplicity 8)

Computed properties:
The calculation puts the mass density at 16.430 g cm⁻³. For the energy above the most stable polymorph in this dataset, the calculation gives 0.06 kcal/mol of atoms. The value obtained for the energy relative to the elements is -166 kJ/mol of formula units.



# 2
NbPd2Pt5: relaxed, PBE-GGA.

Lattice parameters (Å, degrees): 6.8867 6.8867 11.0315 90.00 90.00 90.00
Space group I4/mcm (No. 140)
Unique sites:
1 Nb 0.0000 0.0000 0.2500 (multiplicity 4)
2 Pd 0.1452 0.3548 0.0000 (multiplicity 8)
3 Pt 0.0000 0.0000 0.0000 (multiplicity 4)
4 Pt 0.1495 0.3505 0.3326 (multiplicity 16)

Computed properties:
The calculation puts the mass density at 16.265 g cm⁻³. For the energy above the most stable polymorph in this dataset, the calculation gives 5.38 kcal/mol of atoms. The value obtained for the energy relative to the elements is -122 kJ/mol of formula units.



# 3
Nb2PdPt: relaxed, PBE-GGA.

Lattice parameters (Å, degrees): 5.6703 8.2609 2.8135 90.00 90.00 90.00
Space group Cmmm (No. 65)
Unique sites:
1 Nb 0.2500 0.2500 0.0000 (multiplicity 4)
2 Pd 0.0000 0.0000 0.5000 (multiplicity 2)
3 Pt 0.0000 0.5000 0.5000 (multiplicity 2)

Computed properties:
The calculation puts the mass density at 12.280 g cm⁻³. The value obtained for the energy relative to the elements is -189 kJ/mol of formula units.



# 4
NbPd5Pt8: relaxed, PBE-GGA.

Lattice parameters (Å, degrees): 7.8817 7.8817 7.5306 90.00 90.00 90.00
Space group I-4 (No. 82)
Unique sites:
1 Nb 0.0000 0.0000 0.0000 (multiplicity 2)
2 Pd 0.0000 0.5000 0.2500 (multiplicity 2)
3 Pd 0.1074 0.8152 0.5956 (multiplicity 8)
4 Pt 0.0573 0.6616 0.9158 (multiplicity 8)
5 Pt 0.1189 0.8087 0.2426 (multiplicity 8)

Computed properties:
The calculation puts the mass density at 15.517 g cm⁻³. The value obtained for the energy relative to the elements is -24 kJ/mol of formula units.



# 5
NbPd7Pt3: relaxed, PBE-GGA.

Lattice parameters (Å, degrees): 5.5656 5.5656 6.7494 90.00 90.00 120.00
Space group P3m1 (No. 156)
Unique sites:
1 Nb 0.0000 0.0000 0.0000 (multiplicity 1)
2 Pd 0.3333 0.6667 0.6636 (multiplicity 1)
3 Pd 0.3337 0.1668 0.6635 (multiplicity 3)
4 Pd 0.5020 0.0040 0.0016 (multiplicity 3)
5 Pt 0.1662 0.3324 0.3276 (multiplicity 3)

Computed properties:
The calculation puts the mass density at 13.052 g cm⁻³. The value obtained for the energy relative to the elements is -136 kJ/mol of formula units.



# 6
Nb2Pd2Pt: relaxed, PBE-GGA.

Lattice parameters (Å, degrees): 3.6899 3.6899 13.1936 90.00 90.00 90.00
Space group I4/mmm (No. 139)
Unique sites:
1 Nb 0.0000 0.0000 0.0937 (multiplicity 4)
2 Pd 0.0000 0.5000 0.2500 (multiplicity 4)
3 Pt 0.0000 0.0000 0.5000 (multiplicity 2)

Computed properties:
The calculation puts the mass density at 10.977 g cm⁻³. For the energy above the most stable polymorph in this dataset, the calculation gives 12.08 kcal/mol of atoms. The value obtained for the energy relative to the elements is 19 kJ/mol of formula units.



# 7
NbPd3Pt: relaxed, PBE-GGA.

Lattice parameters (Å, degrees): 4.7981 4.7981 4.7981 90.00 90.00 90.00
Space group Pm-3m (No. 221)
Unique sites:
1 Nb 0.0000 0.0000 0.0000 (multiplicity 1)
2 Pd 0.0000 0.5000 0.5000 (multiplicity 3)
3 Pt 0.5000 0.5000 0.5000 (multiplicity 1)

Computed properties:
The calculation puts the mass density at 9.129 g cm⁻³. For the energy above the most stable polymorph in this dataset, the calculation gives 40.80 kcal/mol of atoms. The value obtained for the energy relative to the elements is 661 kJ/mol of formula units.



# 8
NbPd6Pt: relaxed, PBE-GGA.

Lattice parameters (Å, degrees): 5.0413 5.0533 5.0547 93.15 93.23 93.42
Space group P-1 (No. 2)
Unique sites:
1 Nb 0.0000 0.0000 0.0000 (multiplicity 1)
2 Pd 0.0196 0.7481 0.4674 (multiplicity 2)
3 Pd 0.2521 0.5343 0.9796 (multiplicity 2)
4 Pd 0.4688 0.0188 0.7478 (multiplicity 2)
5 Pt 0.5000 0.5000 0.5000 (multiplicity 1)

Computed properties:
The calculation puts the mass density at 12.009 g cm⁻³. The value obtained for the energy relative to the elements is -90 kJ/mol of formula units.



# 9
Nb2Pd2Pt: relaxed, PBE-GGA.

Lattice parameters (Å, degrees): 7.8321 7.8321 2.8395 90.00 90.00 90.00
Space group P4/mbm (No. 127)
Unique sites:
1 Nb 0.1711 0.3289 0.0000 (multiplicity 4)
2 Pd 0.1245 0.6245 0.5000 (multiplicity 4)
3 Pt 0.0000 0.0000 0.0000 (multiplicity 2)

Computed properties:
The calculation puts the mass density at 11.321 g cm⁻³. For the energy above the most stable polymorph in this dataset, the calculation gives 10.39 kcal/mol of atoms. The value obtained for the energy relative to the elements is -16 kJ/mol of formula units.



# 10
Nb2Pd2Pt: relaxed, PBE-GGA.

Lattice parameters (Å, degrees): 2.8281 4.0152 14.2924 90.00 90.00 90.00
Space group Immm (No. 71)
Unique sites:
1 Nb 0.0000 0.0000 0.1046 (multiplicity 4)
2 Pd 0.0000 0.0000 0.2999 (multiplicity 4)
3 Pt 0.0000 0.0000 0.5000 (multiplicity 2)

Computed properties:
The calculation puts the mass density at 12.150 g cm⁻³. For the energy above the most stable polymorph in this dataset, the calculation gives 0.00 kcal/mol of atoms. The value obtained for the energy relative to the elements is -233 kJ/mol of formula units.



# 11
Nb7Pd12Pt: relaxed, PBE-GGA.

Lattice parameters (Å, degrees): 11.8441 11.8441 8.2277 90.00 90.00 120.00
Space group R-3 (No. 148, hexagonal axes)
Unique sites:
1 Nb 0.0000 0.0000 0.0000 (multiplicity 3)
2 Nb 0.0415 0.8674 0.2458 (multiplicity 18)
3 Pd 0.0234 0.7821 0.5560 (multiplicity 18)
4 Pd 0.0718 0.8115 0.9398 (multiplicity 18)
5 Pt 0.0000 0.0000 0.5000 (multiplicity 3)

Computed properties:
The calculation puts the mass density at 10.578 g cm⁻³. The value obtained for the energy relative to the elements is -495 kJ/mol of formula units.



Which magnetic moment belongs to each record? In order, 0.0, 0.0, 0.0, 0.0, 0.0, 1.3, 0.0, 0.0, 0.0, 0.0, 0.0 Bohr magnetons per cell.